VNiTeO6 | the Alexandria database | PBE+U | relaxed; E = -108.66 eV for the cell shown; spin magnetization = 6.00 μB per cell; volume = 101 Å³/f.u.
1.0
5.0983 0.0000 0.0000
-2.5492 4.4153 0.0000
0.0000 0.0000 8.9565
Te Ni V O
2 2 2 12
Direct
0.3333 0.6667 0.7500 Te
0.6667 0.3333 0.2500 Te
0.0000 0.0000 0.5000 Ni
0.0000 0.0000 0.0000 Ni
0.6667 0.3333 0.7500 V
0.3333 0.6667 0.2500 V
0.6487 0.9999 0.8672 O
0.6488 0.0001 0.3672 O
0.0001 0.3513 0.6328 O
0.9999 0.3512 0.1328 O
0.9999 0.6487 0.3672 O
0.6487 0.6488 0.6328 O
0.3513 0.0001 0.1328 O
0.3512 0.3513 0.8672 O
0.3512 0.9999 0.6328 O
0.3513 0.3512 0.3672 O
0.6488 0.6487 0.1328 O
0.0001 0.6488 0.8672 O